i.
DFT (PBE) results for Sr2CrCu after structural relaxation.

a b c (Å): 3.903 5.312 11.453
angles (deg): 90.00 90.00 90.00
Space group Imm2 (No. 44)
Unique sites:
Sr  0.000  0.000  0.000 x2
Sr  0.000  0.500  0.209 x2
Cr  0.000  0.500  0.803 x2
Cu  0.000  0.000  0.448 x2

Computed properties:
Crystal system: orthorhombic
Total magnetization (μB per cell): 9.1
N(E_F) (states/eV/cell): 5.6

ii.
DFT (PBE) results for Sr2CrCu after structural relaxation.

a b c (Å): 4.3183 4.3183 25.4952
angles (deg): 90.00 90.00 120.00
Space group R-3m (No. 166, hexagonal axes)
Unique sites:
Sr  0.0000  0.0000  0.2384 x6
Cr  0.0000  0.0000  0.0000 x3
Cu  0.0000  0.0000  0.5000 x3

Computed properties:
Crystal system: trigonal
Total magnetization (μB per cell): 15.3
N(E_F) (states/eV/cell): 8.2

i ends up most stable, edging out the next structure by 172 meV/atom.

i.
DFT (PBE) results for Sr2CrCu after structural relaxation.

a b c (Å): 3.681 3.681 8.766
angles (deg): 90.00 90.00 90.00
Space group P4mm (No. 99)
Unique sites:
Sr  0.000  0.000  0.000 x1
Sr  0.500  0.500  0.394 x1
Cr  0.000  0.000  0.652 x1
Cu  0.500  0.500  0.751 x1

Computed properties:
Crystal system: tetragonal
Total magnetization (μB per cell): 4.2
N(E_F) (states/eV/cell): 3.7

ii.
DFT (PBE) results for Sr2CrCu after structural relaxation.

a b c (Å): 7.826 7.826 7.826
angles (deg): 90.00 90.00 90.00
Space group Fm-3m (No. 225)
Unique sites:
Sr  0.250  0.250  0.250 x8
Cr  0.000  0.000  0.000 x4
Cu  0.000  0.000  0.500 x4

Computed properties:
Crystal system: cubic
Total magnetization (μB per cell): 20.2
N(E_F) (states/eV/cell): 18.4

iii.
DFT (PBE) results for Sr2CrCu after structural relaxation.

a b c (Å): 4.529 4.651 11.915
angles (deg): 90.00 90.00 90.00
Space group Amm2 (No. 38)
Unique sites:
Sr  0.000  0.000  0.000 x2
Sr  0.500  0.000  0.284 x2
Cr  0.000  0.000  0.698 x2
Cu  0.500  0.000  0.590 x2

Computed properties:
Crystal system: orthorhombic
Total magnetization (μB per cell): 9.1
N(E_F) (states/eV/cell): 3.8

iv.
DFT (PBE) results for Sr2CrCu after structural relaxation.

a b c (Å): 7.575 7.575 7.575
angles (deg): 90.00 90.00 90.00
Space group F-43m (No. 216)
Unique sites:
Sr  0.000  0.000  0.000 x4
Sr  0.250  0.250  0.250 x4
Cr  0.000  0.000  0.500 x4
Cu  0.250  0.250  0.750 x4

Computed properties:
Crystal system: cubic
Total magnetization (μB per cell): 20.9
N(E_F) (states/eV/cell): 18.2

iii ends up most stable, edging out the next structure by 111 meV/atom.

i.
DFT (PBE) results for TaCrCu after structural relaxation.

a b c (Å): 2.646 2.646 12.150
angles (deg): 90.00 90.00 90.00
Space group I4mm (No. 107)
Unique sites:
Ta  0.000  0.000  0.000 x2
Cr  0.000  0.000  0.320 x2
Cu  0.000  0.000  0.672 x2

Computed properties:
Crystal system: tetragonal
Total magnetization (μB per cell): 0.0
N(E_F) (states/eV/cell): 6.6

ii.
DFT (PBE) results for TaCrCu after structural relaxation.

a b c (Å): 5.818 5.818 5.818
angles (deg): 90.00 90.00 90.00
Space group F-43m (No. 216)
Unique sites:
Ta  0.000  0.000  0.000 x4
Cr  0.000  0.000  0.500 x4
Cu  0.250  0.250  0.250 x4

Computed properties:
Crystal system: cubic
Total magnetization (μB per cell): 7.1
N(E_F) (states/eV/cell): 10.4

i ends up most stable, edging out the next structure by 476 meV/atom.

i.
DFT (PBE) results for CrCuTe2 after structural relaxation.

a b c (Å): 3.659 3.659 7.050
angles (deg): 90.00 90.00 90.00
Space group P4mm (No. 99)
Unique sites:
Cr  0.000  0.000  0.000 x1
Cu  0.500  0.500  0.228 x1
Te  0.000  0.000  0.375 x1
Te  0.500  0.500  0.854 x1

Computed properties:
Crystal system: tetragonal
Total magnetization (μB per cell): 3.3
N(E_F) (states/eV/cell): 2.1

ii.
DFT (PBE) results for CrCuTe2 after structural relaxation.

a b c (Å): 4.959 5.340 7.026
angles (deg): 90.00 90.00 90.00
Space group Amm2 (No. 38)
Unique sites:
Cr  0.000  0.000  0.000 x2
Cu  0.500  0.000  0.216 x2
Te  0.000  0.000  0.383 x2
Te  0.500  0.000  0.838 x2

Computed properties:
Crystal system: orthorhombic
Total magnetization (μB per cell): 6.8
N(E_F) (states/eV/cell): 3.2

ii ends up most stable, edging out the next structure by 14 meV/atom.

i.
DFT (PBE) results for CrCuTe2 after structural relaxation.

a b c (Å): 3.758 3.929 6.461
angles (deg): 90.00 90.00 90.00
Space group Pmmm (No. 47)
Unique sites:
Cr  0.000  0.000  0.000 x1
Cu  0.000  0.500  0.500 x1
Te  0.500  0.000  0.500 x1
Te  0.500  0.500  0.000 x1

Computed properties:
Crystal system: orthorhombic
Total magnetization (μB per cell): 3.6
N(E_F) (states/eV/cell): 2.8

ii.
DFT (PBE) results for CrCuTe2 after structural relaxation.

a b c (Å): 6.410 7.792 4.427
angles (deg): 90.00 120.82 90.00
Space group C2/m (No. 12)
Unique sites:
Cr  0.000  0.000  0.000 x2
Cu  0.000  0.500  0.000 x2
Te  0.250  0.250  0.500 x4

Computed properties:
Crystal system: monoclinic
Total magnetization (μB per cell): 8.4
N(E_F) (states/eV/cell): 3.1

iii.
DFT (PBE) results for CrCuTe2 after structural relaxation.

a b c (Å): 3.616 3.806 13.945
angles (deg): 90.00 90.00 90.00
Space group Imm2 (No. 44)
Unique sites:
Cr  0.000  0.000  0.000 x2
Cu  0.000  0.500  0.136 x2
Te  0.000  0.000  0.419 x2
Te  0.000  0.500  0.659 x2

Computed properties:
Crystal system: orthorhombic
Total magnetization (μB per cell): 5.8
N(E_F) (states/eV/cell): 3.5

iii ends up most stable, edging out the next structure by 200 meV/atom.

i.
DFT (PBE) results for CrCuTe2 after structural relaxation.

a b c (Å): 6.906 6.906 6.906
angles (deg): 90.00 90.00 90.00
Space group Fm-3m (No. 225)
Unique sites:
Cr  0.000  0.000  0.000 x4
Cu  0.000  0.000  0.500 x4
Te  0.250  0.250  0.250 x8

Computed properties:
Crystal system: cubic
Total magnetization (μB per cell): 12.4
N(E_F) (states/eV/cell): 8.1

ii.
DFT (PBE) results for CrCuTe2 after structural relaxation.

a b c (Å): 3.952 6.165 7.612
angles (deg): 90.00 90.00 90.00
Space group Cmmm (No. 65)
Unique sites:
Cr  0.000  0.000  0.000 x2
Cu  0.000  0.000  0.500 x2
Te  0.000  0.500  0.252 x4

Computed properties:
Crystal system: orthorhombic
Total magnetization (μB per cell): 7.3
N(E_F) (states/eV/cell): 5.5

i ends up most stable, edging out the next structure by 11 meV/atom.

i.
DFT (PBE) results for CrCuTe2 after structural relaxation.

a b c (Å): 3.513 3.513 6.562
angles (deg): 90.00 90.00 90.00
Space group P4/mmm (No. 123)
Unique sites:
Cr  0.000  0.000  0.000 x1
Cu  0.000  0.000  0.500 x1
Te  0.500  0.500  0.242 x2

Computed properties:
Crystal system: tetragonal
Total magnetization (μB per cell): 2.8
N(E_F) (states/eV/cell): 2.0

ii.
DFT (PBE) results for CrCuTe2 after structural relaxation.

a b c (Å): 6.495 7.127 3.589
angles (deg): 90.00 90.00 90.00
Space group Cmmm (No. 65)
Unique sites:
Cr  0.000  0.000  0.000 x2
Cu  0.000  0.500  0.000 x2
Te  0.250  0.250  0.500 x4

Computed properties:
Crystal system: orthorhombic
Total magnetization (μB per cell): 7.3
N(E_F) (states/eV/cell): 4.1

i ends up most stable, edging out the next structure by 7 meV/atom.

i.
DFT (PBE) results for CrCuTe2 after structural relaxation.

a b c (Å): 7.063 7.063 7.063
angles (deg): 90.00 90.00 90.00
Space group F-43m (No. 216)
Unique sites:
Cr  0.000  0.000  0.000 x4
Cu  0.250  0.250  0.250 x4
Te  0.000  0.000  0.500 x4
Te  0.250  0.250  0.750 x4

Computed properties:
Crystal system: cubic
Total magnetization (μB per cell): 15.8
N(E_F) (states/eV/cell): 10.0

ii.
DFT (PBE) results for CrCuTe2 after structural relaxation.

a b c (Å): 6.050 6.050 12.008
angles (deg): 90.00 90.00 90.00
Space group I-42d (No. 122)
Unique sites:
Cr  0.000  0.000  0.000 x4
Cu  0.000  0.000  0.500 x4
Te  0.244  0.250  0.625 x8

Computed properties:
Crystal system: tetragonal
Total magnetization (μB per cell): 12.0
N(E_F) (states/eV/cell): 8.1

ii ends up most stable, edging out the next structure by 631 meV/atom.

i.
DFT (PBE) results for CrCuTe2 after structural relaxation.

a b c (Å): 3.238 3.824 7.277
angles (deg): 90.00 94.03 90.00
Space group P2/m (No. 10)
Unique sites:
Cr  0.000  0.000  0.000 x1
Cu  0.000  0.000  0.500 x1
Te  0.251  0.500  0.752 x2

Computed properties:
Crystal system: monoclinic
Total magnetization (μB per cell): 3.8
N(E_F) (states/eV/cell): 1.9

ii.
DFT (PBE) results for CrCuTe2 after structural relaxation.

a b c (Å): 6.813 3.938 6.910
angles (deg): 90.00 109.36 90.00
Space group C2/m (No. 12)
Unique sites:
Cr  0.000  0.000  0.000 x2
Cu  0.000  0.500  0.500 x2
Te  0.250  0.000  0.753 x4

Computed properties:
Crystal system: monoclinic
Total magnetization (μB per cell): 6.3
N(E_F) (states/eV/cell): 3.5

iii.
DFT (PBE) results for CrCuTe2 after structural relaxation.

a b c (Å): 4.0495 4.0495 23.3345
angles (deg): 90.00 90.00 120.00
Space group R-3m (No. 166, hexagonal axes)
Unique sites:
Cr  0.0000  0.0000  0.0000 x3
Cu  0.0000  0.0000  0.5000 x3
Te  0.0000  0.0000  0.3948 x6

Computed properties:
Crystal system: trigonal
Total magnetization (μB per cell): 9.0
N(E_F) (states/eV/cell): 0.7

iii ends up most stable, edging out the next structure by 14 meV/atom.

i.
DFT (PBE) results for CrCuTe2 after structural relaxation.

a b c (Å): 3.867 3.867 12.233
angles (deg): 90.00 90.00 90.00
Space group I-4m2 (No. 119)
Unique sites:
Cr  0.000  0.000  0.000 x2
Cu  0.000  0.500  0.250 x2
Te  0.000  0.000  0.500 x2
Te  0.000  0.500  0.750 x2

Computed properties:
Crystal system: tetragonal
Total magnetization (μB per cell): 7.3
N(E_F) (states/eV/cell): 4.6

ii.
DFT (PBE) results for CrCuTe2 after structural relaxation.

a b c (Å): 4.065 5.653 7.712
angles (deg): 90.00 90.00 90.00
Space group Immm (No. 71)
Unique sites:
Cr  0.000  0.000  0.000 x2
Cu  0.000  0.000  0.500 x2
Te  0.000  0.500  0.224 x4

Computed properties:
Crystal system: orthorhombic
Total magnetization (μB per cell): 7.4
N(E_F) (states/eV/cell): 5.5

i ends up most stable, edging out the next structure by 14 meV/atom.

i.
DFT (PBE) results for CrCuTe after structural relaxation.

a b c (Å): 6.199 6.199 6.199
angles (deg): 90.00 90.00 90.00
Space group F-43m (No. 216)
Unique sites:
Cr  0.000  0.000  0.000 x4
Cu  0.250  0.250  0.750 x4
Te  0.250  0.250  0.250 x4

Computed properties:
Crystal system: cubic
Total magnetization (μB per cell): 14.3
N(E_F) (states/eV/cell): 7.8

ii.
DFT (PBE) results for CrCuTe after structural relaxation.

a b c (Å): 3.627 3.627 8.187
angles (deg): 90.00 90.00 90.00
Space group I4mm (No. 107)
Unique sites:
Cr  0.000  0.000  0.000 x2
Cu  0.000  0.000  0.668 x2
Te  0.000  0.000  0.344 x2

Computed properties:
Crystal system: tetragonal
Total magnetization (μB per cell): 7.2
N(E_F) (states/eV/cell): 2.8

iii.
DFT (PBE) results for CrCuTe after structural relaxation.

a b c (Å): 4.0635 4.0635 4.0276
angles (deg): 90.00 90.00 120.00
Space group P3m1 (No. 156)
Unique sites:
Cr  0.0000  0.0000  0.0000 x1
Cu  0.3333  0.6667  0.2935 x1
Te  0.6667  0.3333  0.6084 x1

Computed properties:
Crystal system: trigonal
Total magnetization (μB per cell): 3.7
N(E_F) (states/eV/cell): 2.0

iv.
DFT (PBE) results for CrCuTe after structural relaxation.

a b c (Å): 4.106 4.106 6.150
angles (deg): 90.00 90.00 90.00
Space group P4/nmm (No. 129, origin choice 2)
Unique sites:
Cr  0.250  0.750  0.000 x2
Cu  0.250  0.250  0.275 x2
Te  0.250  0.250  0.716 x2

Computed properties:
Crystal system: tetragonal
Total magnetization (μB per cell): 4.6
N(E_F) (states/eV/cell): 4.3

iv ends up most stable, edging out the next structure by 107 meV/atom.

i.
DFT (PBE) results for TlCrCu2 after structural relaxation.

a b c (Å): 3.1503 3.1503 24.4553
angles (deg): 90.00 90.00 120.00
Space group R-3m (No. 166, hexagonal axes)
Unique sites:
Tl  0.0000  0.0000  0.0000 x3
Cr  0.0000  0.0000  0.5000 x3
Cu  0.0000  0.0000  0.2433 x6

Computed properties:
Crystal system: trigonal
Total magnetization (μB per cell): 11.7
N(E_F) (states/eV/cell): 7.1

ii.
DFT (PBE) results for TlCrCu2 after structural relaxation.

a b c (Å): 8.882 3.073 4.867
angles (deg): 90.00 101.11 90.00
Space group C2/m (No. 12)
Unique sites:
Tl  0.000  0.000  0.000 x2
Cr  0.000  0.500  0.500 x2
Cu  0.240  0.000  0.706 x4

Computed properties:
Crystal system: monoclinic
Total magnetization (μB per cell): 6.9
N(E_F) (states/eV/cell): 3.5

ii ends up most stable, edging out the next structure by 170 meV/atom.